--- A ---
This record from the Alexandria database describes EuCd2Pb after structural relaxation. The functional is PBE-GGA.

Computed properties:
Space group: No. 123
Spin magnetization: 7.15 Bohr magnetons per cell
Crystal system: tetragonal

Cell: 4.963 4.692 4.692 Å, 90.00 90.00 90.00°
Element x y z (fractional)
Pb: 0.500 0.500 0.500
Cd: 0.000 0.500 0.000
Cd: 0.000 0.000 0.500
Eu: 0.500 0.000 0.000

=====

--- B ---
This record from the Alexandria database describes EuCd2Pb after structural relaxation. The functional is PBE-GGA.

Computed properties:
Space group: No. 225
Spin magnetization: 7.20 Bohr magnetons per cell
Crystal system: cubic

Cell: 5.404 5.404 5.404 Å, 60.00 60.00 60.00°
Element x y z (fractional)
Cd: 0.250 0.250 0.250
Cd: 0.750 0.750 0.750
Eu: 0.000 0.000 0.000
Pb: 0.500 0.500 0.500

=====

--- C ---
This record from the Alexandria database describes EuCd2Pb after structural relaxation. The functional is PBE-GGA.

Computed properties:
Space group: No. 123
Spin magnetization: 7.22 Bohr magnetons per cell
Crystal system: tetragonal

Cell: 4.035 4.035 7.022 Å, 90.00 90.00 90.00°
Element x y z (fractional)
Pb: 0.500 0.500 0.000
Cd: 0.000 0.000 0.761
Cd: 0.000 0.000 0.239
Eu: 0.500 0.500 0.500

=====

The data favor A; the next most stable structure lies 36 meV/atom above it.

=====

--- A ---
This record from the Alexandria database describes PmEuCd after structural relaxation. The functional is PBE-GGA.

Computed properties:
Space group: No. 107
Spin magnetization: 7.45 Bohr magnetons per cell
Crystal system: tetragonal

Cell: 3.844 3.844 7.143 Å, 105.61 105.61 90.00°
Element x y z (fractional)
Cd: 0.673 0.673 0.345
Pm: 0.310 0.310 0.619
Eu: 0.018 0.018 0.036

=====

--- B ---
This record from the Alexandria database describes PmEuCd after structural relaxation. The functional is PBE-GGA.

Computed properties:
Space group: No. 156
Spin magnetization: 7.20 Bohr magnetons per cell
Crystal system: trigonal

Cell: 3.610 5.453 5.453 Å, 120.00 90.00 90.00°
Element x y z (fractional)
Pm: 0.377 0.333 0.667
Cd: 0.656 0.667 0.333
Eu: 0.966 0.000 0.000

=====

The data favor A; the next most stable structure lies 103 meV/atom above it.

=====

--- A ---
This record from the Alexandria database describes PrEu2Cd after structural relaxation. The functional is PBE-GGA.

Computed properties:
Space group: No. 123
Spin magnetization: 14.85 Bohr magnetons per cell
Crystal system: tetragonal

Cell: 3.827 3.827 9.472 Å, 90.00 90.00 90.00°
Element x y z (fractional)
Pr: 0.500 0.500 0.500
Cd: 0.500 0.500 0.000
Eu: 0.000 0.000 0.214
Eu: 0.000 0.000 0.786

=====

--- B ---
This record from the Alexandria database describes PrEu2Cd after structural relaxation. The functional is PBE-GGA.

Computed properties:
Space group: No. 225
Spin magnetization: 15.54 Bohr magnetons per cell
Crystal system: cubic

Cell: 5.705 5.705 5.705 Å, 60.00 60.00 60.00°
Element x y z (fractional)
Cd: 0.500 0.500 0.500
Pr: 0.000 0.000 0.000
Eu: 0.250 0.250 0.250
Eu: 0.750 0.750 0.750

=====

--- C ---
This record from the Alexandria database describes PrEu2Cd after structural relaxation. The functional is PBE-GGA.

Computed properties:
Space group: No. 123
Spin magnetization: 15.37 Bohr magnetons per cell
Crystal system: tetragonal

Cell: 5.142 5.099 5.099 Å, 90.00 90.00 90.00°
Element x y z (fractional)
Pr: 0.500 0.500 0.500
Cd: 0.500 0.000 0.000
Eu: 0.000 0.000 0.500
Eu: 0.000 0.500 0.000

=====

The data favor A; the next most stable structure lies 52 meV/atom above it.

=====

--- A ---
This record from the Alexandria database describes PrEuCd after structural relaxation. The functional is PBE-GGA.

Computed properties:
Space group: No. 107
Spin magnetization: 7.37 Bohr magnetons per cell
Crystal system: tetragonal

Cell: 3.875 3.875 7.190 Å, 105.63 105.63 90.00°
Element x y z (fractional)
Cd: 0.670 0.670 0.340
Eu: 0.019 0.019 0.039
Pr: 0.311 0.311 0.621

=====

--- B ---
This record from the Alexandria database describes PrEuCd after structural relaxation. The functional is PBE-GGA.

Computed properties:
Space group: No. 156
Spin magnetization: 7.25 Bohr magnetons per cell
Crystal system: trigonal

Cell: 3.656 5.483 5.483 Å, 120.00 90.00 90.00°
Element x y z (fractional)
Pr: 0.374 0.333 0.667
Cd: 0.665 0.667 0.333
Eu: 0.962 0.000 0.000

=====

The data favor A; the next most stable structure lies 101 meV/atom above it.